Entry 1:
The following is a PBE-GGA calculation of crystalline BaGa3Bi3 at its relaxed geometry, from the Alexandria database. Values from VASP.

E_form, eV/atom: -0.055

```
&SYSTEM
  ibrav = 0, nat = 14, ntyp = 3
/
ATOMIC_SPECIES
Ba 137.33 Ba.upf
Ga 69.72 Ga.upf
Bi 208.98 Bi.upf
CELL_PARAMETERS angstrom
7.984 0.000 0.000
0.000 7.984 0.000
0.000 0.000 7.984
ATOMIC_POSITIONS crystal
Ba 0.000 0.000 0.000
Ba 0.500 0.500 0.500
Ga 0.000 0.250 0.500
Ga 0.000 0.750 0.500
Ga 0.250 0.500 0.000
Ga 0.500 0.000 0.250
Ga 0.500 0.000 0.750
Ga 0.750 0.500 0.000
Bi 0.000 0.500 0.250
Bi 0.000 0.500 0.750
Bi 0.250 0.000 0.500
Bi 0.500 0.250 0.000
Bi 0.500 0.750 0.000
Bi 0.750 0.000 0.500
```



Entry 2:
The following is a PBE-GGA calculation of crystalline La3NdHg at its relaxed geometry, from the Alexandria database. Values from VASP.

E_form, eV/atom: -0.128
Excess energy over the best structure of this formula in the dataset, eV per formula unit: 0.31

```
&SYSTEM
  ibrav = 0, nat = 20, ntyp = 3
/
ATOMIC_SPECIES
La 138.91 La.upf
Nd 144.24 Nd.upf
Hg 200.59 Hg.upf
CELL_PARAMETERS angstrom
9.810 0.000 0.000
0.000 6.935 0.000
-6.720 0.000 9.909
ATOMIC_POSITIONS crystal
La 0.038 0.102 0.302
La 0.038 0.398 0.802
La 0.356 0.145 0.735
La 0.356 0.355 0.235
La 0.365 0.644 0.877
La 0.365 0.856 0.377
La 0.635 0.144 0.623
La 0.635 0.356 0.123
La 0.644 0.645 0.765
La 0.644 0.855 0.265
La 0.962 0.602 0.198
La 0.962 0.898 0.698
Nd 0.103 0.727 0.522
Nd 0.103 0.773 0.022
Nd 0.897 0.227 0.978
Nd 0.897 0.273 0.478
Hg 0.318 0.075 0.993
Hg 0.318 0.425 0.493
Hg 0.682 0.575 0.507
Hg 0.682 0.925 0.007
```



Entry 3:
The following is a PBE-GGA calculation of crystalline MgHgC3 at its relaxed geometry, from the Alexandria database. Values from VASP.

E_form, eV/atom: 2.923
Excess energy over the best structure of this formula in the dataset, eV per formula unit: 0.00

```
&SYSTEM
  ibrav = 0, nat = 5, ntyp = 3
/
ATOMIC_SPECIES
Mg 24.30 Mg.upf
Hg 200.59 Hg.upf
C 12.01 C.upf
CELL_PARAMETERS angstrom
4.199 0.000 0.000
0.000 4.199 0.000
0.000 0.000 4.199
ATOMIC_POSITIONS crystal
Mg 0.000 0.000 0.000
Hg 0.500 0.500 0.500
C 0.000 0.000 0.500
C 0.000 0.500 0.000
C 0.500 0.000 0.000
```



Entry 4:
The following is a PBE-GGA calculation of crystalline GdScNiAu at its relaxed geometry, from the Alexandria database. Values from VASP.

E_form, eV/atom: -0.538

```
&SYSTEM
  ibrav = 0, nat = 4, ntyp = 4
/
ATOMIC_SPECIES
Gd 157.25 Gd.upf
Sc 44.96 Sc.upf
Ni 58.69 Ni.upf
Au 196.97 Au.upf
CELL_PARAMETERS angstrom
0.000 3.433 3.433
3.433 0.000 3.433
3.433 3.433 0.000
ATOMIC_POSITIONS crystal
Gd 0.000 0.000 0.000
Sc 0.500 0.500 0.500
Ni 0.750 0.750 0.750
Au 0.250 0.250 0.250
```



Entry 5:
The following is a PBE-GGA calculation of crystalline SrZn11Ga at its relaxed geometry, from the Alexandria database. Values from VASP.

E_form, eV/atom: -0.120

```
&SYSTEM
  ibrav = 0, nat = 13, ntyp = 3
/
ATOMIC_SPECIES
Sr 87.62 Sr.upf
Zn 65.41 Zn.upf
Ga 69.72 Ga.upf
CELL_PARAMETERS angstrom
2.698 -6.368 0.000
2.698 6.368 0.000
-2.677 0.000 6.362
ATOMIC_POSITIONS crystal
Sr 0.000 0.000 0.000
Zn 0.000 0.000 0.500
Zn 0.000 0.500 0.000
Zn 0.016 0.657 0.645
Zn 0.274 0.500 0.778
Zn 0.343 0.984 0.355
Zn 0.500 0.000 0.000
Zn 0.500 0.274 0.778
Zn 0.500 0.726 0.222
Zn 0.657 0.016 0.645
Zn 0.726 0.500 0.222
Zn 0.984 0.343 0.355
Ga 0.500 0.500 0.500
```



Entry 6:
The following is a PBE-GGA calculation of crystalline MnCu4Pt15 at its relaxed geometry, from the Alexandria database. Values from VASP.

E_form, eV/atom: -0.168

```
&SYSTEM
  ibrav = 0, nat = 20, ntyp = 3
/
ATOMIC_SPECIES
Mn 54.94 Mn.upf
Cu 63.55 Cu.upf
Pt 195.08 Pt.upf
CELL_PARAMETERS angstrom
3.896 0.000 0.000
0.000 3.896 0.000
0.000 0.000 19.649
ATOMIC_POSITIONS crystal
Mn 0.000 0.000 0.000
Cu 0.000 0.000 0.201
Cu 0.000 0.000 0.400
Cu 0.000 0.000 0.600
Cu 0.000 0.000 0.799
Pt 0.000 0.500 0.101
Pt 0.000 0.500 0.301
Pt 0.000 0.500 0.500
Pt 0.000 0.500 0.699
Pt 0.000 0.500 0.899
Pt 0.500 0.000 0.101
Pt 0.500 0.000 0.301
Pt 0.500 0.000 0.500
Pt 0.500 0.000 0.699
Pt 0.500 0.000 0.899
Pt 0.500 0.500 0.000
Pt 0.500 0.500 0.201
Pt 0.500 0.500 0.400
Pt 0.500 0.500 0.600
Pt 0.500 0.500 0.799
```



Entry 7:
The following is a PBE-GGA calculation of crystalline NdLuZnFe at its relaxed geometry, from the Alexandria database. Values from VASP.

E_form, eV/atom: -0.037

```
&SYSTEM
  ibrav = 0, nat = 4, ntyp = 4
/
ATOMIC_SPECIES
Nd 144.24 Nd.upf
Lu 174.97 Lu.upf
Zn 65.41 Zn.upf
Fe 55.84 Fe.upf
CELL_PARAMETERS angstrom
0.000 3.496 3.496
3.496 0.000 3.496
3.496 3.496 0.000
ATOMIC_POSITIONS crystal
Nd 0.000 0.000 0.000
Lu 0.500 0.500 0.500
Zn 0.250 0.250 0.250
Fe 0.750 0.750 0.750
```



no.,mass density (Mg/m³),DOS(E_F) (states/eV per cell)
1,6.35,9.6
2,7.50,28.3
3,5.85,2.1
4,9.40,3.1
5,6.66,2.1
6,18.02,19.0
7,8.56,3.9